Density functional theory data (PBE-GGA) for an optimized crystal structure of DyY2Tl2.

Calculated formation energy ... -298 meV per atom
Calculated volume ... 284.9 Å³ per cell

Cell: 3.785 5.381 14.116 Å, 90.00 97.72 90.00°
Fractional positions:
1 Dy 0.148 0.250 0.298
2 Dy 0.852 0.750 0.702
3 Y 0.050 0.750 0.099
4 Y 0.238 0.750 0.475
5 Y 0.762 0.250 0.525
6 Y 0.950 0.250 0.901
7 Tl 0.355 0.250 0.709
8 Tl 0.451 0.750 0.902
9 Tl 0.549 0.250 0.098
10 Tl 0.645 0.750 0.291